Crystalline NaMg2OsS at its relaxed geometry. Source: Alexandria via LeMat-Bulk, functional GGA-PBEsol.

## Properties
DFT total energy, eV/atom: -2.85
Formation energy (no corrections), eV/atom: 1.4339
Space-group type: P4/mmm
Calculated volume, Å³/atom: 20.72

Cell: 4.8613 4.8613 4.3848 Å, 90.00 90.00 90.00°
Positions (direct):
Na1 0.0000 0.0000 0.0000
Mg1 0.0000 0.5000 0.0000
Mg2 0.5000 0.0000 0.0000
Os1 0.5000 0.5000 0.5000
S1 0.0000 0.0000 0.5000

Crystalline BeFeW2 at its relaxed geometry. Source: Alexandria via LeMat-Bulk, functional GGA-PBEsol.

## Properties
DFT total energy, eV/atom: -10.00
Space-group type: P2/m
Calculated volume, Å³/atom: 12.51

Cell: 2.6779 3.5603 5.2587 Å, 90.00 93.30 90.00°
Positions (direct):
Be1 0.0000 0.0000 0.0000
Fe1 0.0000 0.0000 0.5000
W1 0.4820 0.5000 0.2482
W2 0.5180 0.5000 0.7518

Crystalline YAgSb2 at its relaxed geometry. Source: Alexandria via LeMat-Bulk, functional GGA-PBEsol.

## Properties
DFT total energy, eV/atom: -5.03
Formation energy (no corrections), eV/atom: -0.2157
Space-group type: R-3m
Calculated volume, Å³/atom: 24.12

Cell: 9.6491 9.6491 9.6491 Å, 20.51 20.51 20.51°
Positions (direct):
Y1 0.0000 0.0000 0.0000
Ag1 0.5000 0.5000 0.5000
Sb1 0.2445 0.2445 0.2445
Sb2 0.7555 0.7555 0.7555

Crystalline CrCoNi2 at its relaxed geometry. Source: Alexandria via LeMat-Bulk, functional GGA-PBEsol.

## Properties
DFT total energy, eV/atom: -7.52
Space-group type: Pmmm
Calculated volume, Å³/atom: 10.42

Cell: 2.4173 3.5784 4.8168 Å, 90.00 90.00 90.00°
Positions (direct):
Cr1 0.0000 0.0000 0.0000
Co1 0.0000 0.0000 0.5000
Ni1 0.5000 0.5000 0.2504
Ni2 0.5000 0.5000 0.7496

Among the records above, which one has the lowest DFT total energy? BeFeW2

The highest calculated volume belongs to which entry? YAgSb2

Among the records above, which one has the highest calculated volume? YAgSb2